Record 1
A relaxed structure of Nd4CoOsCl2. Source: the Alexandria database, functional PBE-GGA.

extended XYZ file:
```
8
Lattice="6.934 0.000 0.000 0.000 4.019 0.000 -2.314 0.000 7.625" Properties=species:S:1:pos:R:3 pbc="T T T"
Nd 1.133 0.000 1.546
Nd -0.021 2.009 6.041
Nd 4.641 2.009 1.585
Nd 3.487 0.000 6.079
Co 0.000 2.009 0.000
Os 3.467 0.000 0.000
Cl -1.157 0.000 3.813
Cl 2.310 2.009 3.813
```

- Energy relative to the elements, uncorrected: -0.78 eV/atom
- Raw total energy: -47.4 eV for the cell shown

Record 2
A relaxed structure of PmSmTmAg. Source: the Alexandria database, functional PBE-GGA.

extended XYZ file:
```
4
Lattice="0.000 3.840 3.840 3.840 0.000 3.840 3.840 3.840 0.000" Properties=species:S:1:pos:R:3 pbc="T T T"
Pm 0.000 0.000 0.000
Sm 5.760 5.760 5.760
Tm 1.920 1.920 1.920
Ag 3.840 3.840 3.840
```

- Excess energy over the best structure of this formula in the dataset: 235 meV per atom
- Formation energy: 2.417 kcal/mol of atoms
- Raw total energy: -16.4 eV for the cell shown

Record 3
A relaxed structure of MnAg2Pd8. Source: the Alexandria database, functional PBE-GGA.

extended XYZ file:
```
11
Lattice="4.037 -5.315 0.000 4.037 5.315 0.000 0.000 0.000 4.279" Properties=species:S:1:pos:R:3 pbc="T T T"
Mn 0.000 0.000 0.000
Ag 4.037 1.316 2.139
Ag 4.037 -1.316 2.139
Pd 1.354 1.382 2.139
Pd 4.037 2.809 0.000
Pd 1.354 -1.382 2.139
Pd 2.612 0.000 0.000
Pd 5.462 0.000 0.000
Pd 6.720 1.382 2.139
Pd 4.037 -2.809 0.000
Pd 6.720 -1.382 2.139
```

- Excess energy over the best structure of this formula in the dataset: 0 meV per atom
- Formation energy: 2.512 kcal/mol of atoms
- Raw total energy: -55.2 eV for the cell shown

Record 4
A relaxed structure of Ba3Tb3PmSe8. Source: the Alexandria database, functional PBE-GGA.

extended XYZ file:
```
15
Lattice="4.245 2.451 7.523 -4.245 2.451 7.523 0.000 -4.902 7.523" Properties=species:S:1:pos:R:3 pbc="T T T"
Ba -2.122 -1.225 7.523
Ba -2.122 1.225 15.047
Ba 0.000 2.451 7.523
Tb -4.245 0.000 11.285
Tb -2.122 1.225 3.762
Tb 2.122 1.225 3.762
Pm 0.000 0.000 11.285
Se -2.167 -1.251 12.903
Se 0.000 0.000 5.373
Se 0.000 -2.502 9.667
Se -2.167 1.251 9.667
Se 2.167 -1.251 12.903
Se 0.000 2.502 12.903
Se 0.000 0.000 17.197
Se 2.167 1.251 9.667
```

- Energy relative to the elements, uncorrected: -1.93 eV/atom
- Raw total energy: -81.2 eV for the cell shown

Record 5
A relaxed structure of ZnAsOsBr2. Source: the Alexandria database, functional PBE-GGA.

extended XYZ file:
```
5
Lattice="4.929 0.000 0.000 0.000 4.929 0.000 0.000 0.000 5.195" Properties=species:S:1:pos:R:3 pbc="T T T"
Zn 0.000 0.000 0.000
As 0.000 0.000 2.597
Os 2.465 2.465 2.597
Br 0.000 2.465 0.000
Br 2.465 0.000 0.000
```

- Excess energy over the best structure of this formula in the dataset: 776 meV per atom
- Energy relative to the elements, uncorrected: 1.32 eV/atom
- Raw total energy: -13.9 eV for the cell shown

Record 6
A relaxed structure of Nd2PbI. Source: the Alexandria database, functional PBE-GGA.

extended XYZ file:
```
16
Lattice="4.581 -9.162 0.000 4.581 9.162 0.000 -4.537 0.000 6.530" Properties=species:S:1:pos:R:3 pbc="T T T"
Nd 0.944 3.438 1.756
Nd -1.106 1.137 4.763
Nd 1.162 -1.137 1.499
Nd -1.325 -3.438 5.021
Nd 5.950 3.438 1.509
Nd 3.463 1.137 5.031
Nd 5.732 -1.137 1.766
Nd 3.682 -3.438 4.774
Pb 1.179 8.099 4.897
Pb 1.179 3.353 4.897
Pb 3.447 -3.353 1.632
Pb 3.447 -8.099 1.632
I 3.447 5.669 1.632
I 3.447 1.207 1.632
I 1.179 -1.207 4.897
I 1.179 -5.669 4.897
```

- Excess energy over the best structure of this formula in the dataset: 0 meV per atom
- Energy relative to the elements, uncorrected: -0.76 eV/atom
- Raw total energy: -71.3 eV for the cell shown

Record 7
A relaxed structure of Ce2P2Pt. Source: the Alexandria database, functional PBE-GGA.

extended XYZ file:
```
5
Lattice="4.161 0.000 0.000 -2.080 3.603 0.000 0.000 0.000 7.515" Properties=species:S:1:pos:R:3 pbc="T T T"
Ce 0.000 0.000 1.774
Ce 0.000 0.000 5.741
P 0.000 2.402 0.000
P 2.080 1.201 3.757
Pt 0.000 2.402 3.757
```

- Excess energy over the best structure of this formula in the dataset: 0 meV per atom
- Formation energy: -29.132 kcal/mol of atoms
- Raw total energy: -35.0 eV for the cell shown

Record 8
A relaxed structure of CdHg2W. Source: the Alexandria database, functional PBE-GGA.

extended XYZ file:
```
4
Lattice="2.954 0.000 0.000 0.000 4.468 0.000 0.000 0.000 6.085" Properties=species:S:1:pos:R:3 pbc="T T T"
Cd 0.000 0.000 0.000
Hg 0.000 0.000 3.282
Hg 1.477 2.234 1.561
W 1.477 2.234 4.627
```

- Formation energy: 16.508 kcal/mol of atoms
- Raw total energy: -11.6 eV for the cell shown